Below is crystalline Sm2YTlC at its relaxed geometry, with properties calculated at the GGA-PBE level.

Output
ΔH_f (0 K) (eV per atom): -0.39
Symmetry: P4/mmm

Cell lengths 5.064, 5.064, 4.933 Å; angles 90.00, 90.00, 90.00 degrees
Fractional coordinates of all 5 atoms:
Sm1 0.000 0.500 0.000
Sm2 0.500 0.000 0.000
Y1 0.000 0.000 0.500
Tl1 0.500 0.500 0.500
C1 0.000 0.000 0.000